Computed, not measured: TlCd at its PBEsol-relaxed geometry at the meta-GGA SCAN level of DFT.

Cell and atoms, written as CIF:
```
data_TlCd
_chemical_formula_sum 'Tl4 Cd4'
_symmetry_space_group_name_H-M 'C 1 2/m 1'
_symmetry_Int_Tables_number 12
_symmetry_space_group_name_Hall '-C 2y'
_cell_length_a 11.5422
_cell_length_b 3.2757
_cell_length_c 5.5371
_cell_angle_alpha 90.00
_cell_angle_beta 107.94
_cell_angle_gamma 90.00
loop_
_atom_site_label
_atom_site_type_symbol
_atom_site_fract_x
_atom_site_fract_y
_atom_site_fract_z
Tl1 Tl 0.1115 0.0000 0.3404
Cd1 Cd 0.1416 0.5000 0.8564
```

Summary:
* total DFT energy (no corrections): -410.6 eV for the cell shown
* density: 10.57 g/cm3
* total magnetic moment: 0.0 μB/cell
* ΔE_f: 0.130 eV per formula unit

---

Computed, not measured: TlCd at its PBEsol-relaxed geometry at the meta-GGA SCAN level of DFT.

Cell and atoms, written as CIF:
```
data_TlCd
_chemical_formula_sum 'Tl2 Cd2'
_symmetry_space_group_name_H-M 'P -3 m 1'
_symmetry_Int_Tables_number 164
_symmetry_space_group_name_Hall '-P 3 2"'
_cell_length_a 3.2914
_cell_length_b 3.2914
_cell_length_c 10.5971
_cell_angle_alpha 90.00
_cell_angle_beta 90.00
_cell_angle_gamma 120.00
loop_
_atom_site_label
_atom_site_type_symbol
_atom_site_fract_x
_atom_site_fract_y
_atom_site_fract_z
Tl1 Tl 0.3333 0.6667 0.1428
Cd1 Cd 0.3333 0.6667 0.6098
```

Summary:
* total DFT energy (no corrections): -205.3 eV for the cell shown
* density: 10.58 g/cm3
* total magnetic moment: 0.0 μB/cell
* ΔE_f: 0.114 eV per formula unit

---

Computed, not measured: Tl4Cd5 at its PBEsol-relaxed geometry at the meta-GGA SCAN level of DFT.

Cell and atoms, written as CIF:
```
data_Tl4Cd5
_chemical_formula_sum 'Tl8 Cd10'
_symmetry_space_group_name_H-M 'I 4/m m m'
_symmetry_Int_Tables_number 139
_symmetry_space_group_name_Hall '-I 4 2'
_cell_length_a 9.7578
_cell_length_b 9.7578
_cell_length_c 4.6202
_cell_angle_alpha 90.00
_cell_angle_beta 90.00
_cell_angle_gamma 90.00
loop_
_atom_site_label
_atom_site_type_symbol
_atom_site_fract_x
_atom_site_fract_y
_atom_site_fract_z
Tl1 Tl 0.0000 0.3216 0.0000
Cd1 Cd 0.0000 0.0000 0.0000
Cd2 Cd 0.1614 0.1614 0.5000
```

Summary:
* total DFT energy (no corrections): -881.8 eV for the cell shown
* density: 10.42 g/cm3
* total magnetic moment: 0.0 μB/cell
* ΔE_f: 0.612 eV per formula unit

---

Computed, not measured: TlCd at its PBEsol-relaxed geometry at the meta-GGA SCAN level of DFT.

Cell and atoms, written as CIF:
```
data_TlCd
_chemical_formula_sum 'Tl12 Cd12'
_symmetry_space_group_name_H-M 'P b c m'
_symmetry_Int_Tables_number 57
_symmetry_space_group_name_Hall '-P 2c 2b'
_cell_length_a 11.2296
_cell_length_b 8.6454
_cell_length_c 6.2457
_cell_angle_alpha 90.00
_cell_angle_beta 90.00
_cell_angle_gamma 90.00
loop_
_atom_site_label
_atom_site_type_symbol
_atom_site_fract_x
_atom_site_fract_y
_atom_site_fract_z
Tl1 Tl 0.1363 0.2500 0.0000
Tl2 Tl 0.1814 0.6548 0.2500
Tl3 Tl 0.3386 0.0380 0.2500
Cd1 Cd 0.0501 0.5425 0.7500
Cd2 Cd 0.3798 0.0758 0.7500
Cd3 Cd 0.4375 0.7500 0.0000
```

Summary:
* total DFT energy (no corrections): -1231.5 eV for the cell shown
* density: 10.41 g/cm3
* total magnetic moment: 0.0 μB/cell
* ΔE_f: 0.150 eV per formula unit

---

Computed, not measured: TlCd at its PBEsol-relaxed geometry at the meta-GGA SCAN level of DFT.

Cell and atoms, written as CIF:
```
data_TlCd
_chemical_formula_sum 'Tl3 Cd3'
_symmetry_space_group_name_H-M 'R -3 m'
_symmetry_Int_Tables_number 166
_symmetry_space_group_name_Hall '-R 3 2"'
_cell_length_a 3.2938
_cell_length_b 3.2938
_cell_length_c 15.8066
_cell_angle_alpha 90.00
_cell_angle_beta 90.00
_cell_angle_gamma 120.00
loop_
_atom_site_label
_atom_site_type_symbol
_atom_site_fract_x
_atom_site_fract_y
_atom_site_fract_z
Tl1 Tl 0.0000 0.0000 0.0000
Cd1 Cd 0.0000 0.0000 0.5000
```

Summary:
* total DFT energy (no corrections): -307.8 eV for the cell shown
* density: 10.63 g/cm3
* total magnetic moment: 0.0 μB/cell
* ΔE_f: 0.164 eV per formula unit

---

Computed, not measured: TlCd at its PBEsol-relaxed geometry at the meta-GGA SCAN level of DFT.

Cell and atoms, written as CIF:
```
data_TlCd
_chemical_formula_sum 'Tl6 Cd6'
_symmetry_space_group_name_H-M 'C 1 m 1'
_symmetry_Int_Tables_number 8
_symmetry_space_group_name_Hall 'C -2y'
_cell_length_a 12.0479
_cell_length_b 3.2281
_cell_length_c 8.1077
_cell_angle_alpha 90.00
_cell_angle_beta 108.18
_cell_angle_gamma 90.00
loop_
_atom_site_label
_atom_site_type_symbol
_atom_site_fract_x
_atom_site_fract_y
_atom_site_fract_z
Tl1 Tl 0.0000 0.0000 0.0000
Tl2 Tl 0.0100 0.0000 0.5908
Tl3 Tl 0.1716 0.5000 0.3534
Cd1 Cd 0.2131 0.5000 0.9389
Cd2 Cd 0.3020 0.0000 0.6940
Cd3 Cd 0.3728 0.0000 0.2422
```

Summary:
* total DFT energy (no corrections): -615.8 eV for the cell shown
* density: 10.54 g/cm3
* total magnetic moment: 0.0 μB/cell
* ΔE_f: 0.138 eV per formula unit